# La5Tb3Dy3

An optimized crystal structure of La5Tb3Dy3 (GGA-PBE, the Alexandria database).

Formation energy from the elements (eV per atom): 0.291
DOS at the Fermi energy (states/eV/atom): 1.491
E_tot (eV per atom): -4.47
Calculated volume (Å³/atom): 35.6

```
La5Tb3Dy3
1.0
3.490 0.000 0.000
0.000 9.864 -5.695
0.000 0.000 11.390
Tb Dy La
3 3 5
Direct
0.500 0.160 0.160 Tb
0.500 0.840 0.000 Tb
0.500 0.000 0.840 Tb
0.000 0.000 0.597 Dy
0.000 0.597 0.000 Dy
0.000 0.403 0.403 Dy
0.500 0.333 0.667 La
0.500 0.000 0.339 La
0.500 0.661 0.661 La
0.500 0.667 0.333 La
0.500 0.339 0.000 La
```